Entry 1:
Compound: Na6TlSn2
Source: Alexandria
Functional: PBE-GGA
Structure: optimized geometry

ΔE_f   -1.23 eV per formula unit
M_tot   0.00 μB per cell
Energy relative to the lowest polymorph listed for this composition   0 meV per atom
VASP energy   -2.168 eV/atom

Structure (CIF):
```
data_Na6TlSn2
_chemical_formula_sum 'Na18 Tl3 Sn6'
_cell_length_a 5.5070
_cell_length_b 5.5070
_cell_length_c 31.5477
_cell_angle_alpha 90.00
_cell_angle_beta 90.00
_cell_angle_gamma 120.00
_space_group_name_H-M_alt 'R -3 m'
_space_group_IT_number 166
_space_group_name_Hall '-R 3 2"'
loop_
_atom_site_label
_atom_site_type_symbol
_atom_site_fract_x
_atom_site_fract_y
_atom_site_fract_z
Na1 Na 0.0000 0.0000 0.0784
Na2 Na 0.0000 0.0000 0.2034
Na3 Na 0.0000 0.0000 0.3063
Tl1 Tl 0.0000 0.0000 0.5000
Sn1 Sn 0.0000 0.0000 0.4081
```

---

Entry 2:
Compound: MgTa2Si
Source: Alexandria
Functional: PBE-GGA
Structure: optimized geometry

ΔE_f (raw)   0.1320 eV per atom
M_tot   0.00 μB per cell
VASP energy   -7.549 eV/atom

Structure (CIF):
```
data_MgTa2Si
_chemical_formula_sum 'Mg3 Ta6 Si3'
_cell_length_a 2.9284
_cell_length_b 2.9284
_cell_length_c 28.3973
_cell_angle_alpha 90.00
_cell_angle_beta 90.00
_cell_angle_gamma 120.00
_space_group_name_H-M_alt 'R -3 m'
_space_group_IT_number 166
_space_group_name_Hall '-R 3 2"'
loop_
_atom_site_label
_atom_site_type_symbol
_atom_site_fract_x
_atom_site_fract_y
_atom_site_fract_z
Mg1 Mg 0.0000 0.0000 0.0000
Ta1 Ta 0.0000 0.0000 0.2432
Si1 Si 0.0000 0.0000 0.5000
```

---

Entry 3:
Compound: Ca2SiAu6
Source: Alexandria
Functional: PBE-GGA
Structure: optimized geometry

ΔE_f (raw)   -0.5186 eV per atom
M_tot   0.00 μB per cell
VASP energy   -3.751 eV/atom

Structure (CIF):
```
data_Ca2SiAu6
_chemical_formula_sum 'Ca8 Si4 Au24'
_cell_length_a 9.104
_cell_length_b 9.104
_cell_length_c 9.104
_cell_angle_alpha 90.00
_cell_angle_beta 90.00
_cell_angle_gamma 90.00
_space_group_name_H-M_alt 'F m -3 m'
_space_group_IT_number 225
_space_group_name_Hall '-F 4 2 3'
loop_
_atom_site_label
_atom_site_type_symbol
_atom_site_fract_x
_atom_site_fract_y
_atom_site_fract_z
Ca1 Ca 0.250 0.250 0.250
Si1 Si 0.000 0.000 0.000
Au1 Au 0.000 0.000 0.271
```

---

Entry 4:
Compound: Nd2InCuS5
Source: Alexandria
Functional: PBE-GGA
Structure: optimized geometry

ΔE_f (raw)   -1.3579 eV per atom
M_tot   0.00 μB per cell
Energy relative to the lowest polymorph listed for this composition   0 meV per atom
VASP energy   -5.470 eV/atom

Structure (CIF):
```
data_Nd2InCuS5
_chemical_formula_sum 'Nd8 In4 Cu4 S20'
_cell_length_a 11.592
_cell_length_b 3.909
_cell_length_c 16.766
_cell_angle_alpha 90.00
_cell_angle_beta 90.00
_cell_angle_gamma 90.00
_space_group_name_H-M_alt 'P n m a'
_space_group_IT_number 62
_space_group_name_Hall '-P 2ac 2n'
loop_
_atom_site_label
_atom_site_type_symbol
_atom_site_fract_x
_atom_site_fract_y
_atom_site_fract_z
Nd1 Nd 0.024 0.250 0.180
Nd2 Nd 0.135 0.750 0.596
In1 In 0.195 0.750 0.362
Cu1 Cu 0.082 0.750 0.996
S1 S 0.013 0.250 0.695
S2 S 0.097 0.250 0.922
S3 S 0.109 0.250 0.464
S4 S 0.184 0.750 0.113
S5 S 0.240 0.750 0.771
```

---

Entry 5:
Compound: NaCeCd2Hg4
Source: Alexandria
Functional: PBE-GGA
Structure: optimized geometry

ΔE_f   -1.89 eV per formula unit
M_tot   2.56 μB per cell
VASP energy   -1.523 eV/atom

Structure (CIF):
```
data_NaCeCd2Hg4
_chemical_formula_sum 'Na3 Ce3 Cd6 Hg12'
_cell_length_a 5.1316
_cell_length_b 5.1316
_cell_length_c 25.6202
_cell_angle_alpha 90.00
_cell_angle_beta 90.00
_cell_angle_gamma 120.00
_space_group_name_H-M_alt 'R -3 m'
_space_group_IT_number 166
_space_group_name_Hall '-R 3 2"'
loop_
_atom_site_label
_atom_site_type_symbol
_atom_site_fract_x
_atom_site_fract_y
_atom_site_fract_z
Na1 Na 0.0000 0.0000 0.0000
Ce1 Ce 0.0000 0.0000 0.5000
Cd1 Cd 0.0000 0.0000 0.2476
Hg1 Hg 0.0000 0.0000 0.1195
Hg2 Hg 0.0000 0.0000 0.3720
```

---

Entry 6:
Compound: MnReTc2
Source: Alexandria
Functional: PBE-GGA
Structure: optimized geometry

ΔE_f   0.31 eV per formula unit
M_tot   1.33 μB per cell
VASP energy   -10.510 eV/atom

Structure (CIF):
```
data_MnReTc2
_chemical_formula_sum 'Mn1 Re1 Tc2'
_cell_length_a 3.822
_cell_length_b 3.822
_cell_length_c 3.841
_cell_angle_alpha 90.00
_cell_angle_beta 90.00
_cell_angle_gamma 90.00
_space_group_name_H-M_alt 'P 4/m m m'
_space_group_IT_number 123
_space_group_name_Hall '-P 4 2'
loop_
_atom_site_label
_atom_site_type_symbol
_atom_site_fract_x
_atom_site_fract_y
_atom_site_fract_z
Mn1 Mn 0.000 0.000 0.000
Re1 Re 0.500 0.500 0.000
Tc1 Tc 0.000 0.500 0.500
```

---

Entry 7:
Compound: PaTlPdRh
Source: Alexandria
Functional: PBE-GGA
Structure: optimized geometry

ΔE_f   -1.56 eV per formula unit
M_tot   0.00 μB per cell
VASP energy   -6.492 eV/atom

Structure (CIF):
```
data_PaTlPdRh
_chemical_formula_sum 'Pa4 Tl4 Pd4 Rh4'
_cell_length_a 6.850
_cell_length_b 6.850
_cell_length_c 6.850
_cell_angle_alpha 90.00
_cell_angle_beta 90.00
_cell_angle_gamma 90.00
_space_group_name_H-M_alt 'F -4 3 m'
_space_group_IT_number 216
_space_group_name_Hall 'F -4 2 3'
loop_
_atom_site_label
_atom_site_type_symbol
_atom_site_fract_x
_atom_site_fract_y
_atom_site_fract_z
Pa1 Pa 0.000 0.000 0.000
Tl1 Tl 0.000 0.000 0.500
Pd1 Pd 0.250 0.250 0.250
Rh1 Rh 0.250 0.250 0.750
```

---

Entry 8:
Compound: SmDy4Y2Er2
Source: Alexandria
Functional: PBE-GGA
Structure: optimized geometry

ΔE_f   0.74 eV per formula unit
M_tot   0.00 μB per cell
VASP energy   -4.938 eV/atom

Structure (CIF):
```
data_SmDy4Y2Er2
_chemical_formula_sum 'Sm1 Dy4 Y2 Er2'
_cell_length_a 6.010
_cell_length_b 6.642
_cell_length_c 8.562
_cell_angle_alpha 79.60
_cell_angle_beta 70.36
_cell_angle_gamma 63.76
_space_group_name_H-M_alt 'P -1'
_space_group_IT_number 2
_space_group_name_Hall '-P 1'
loop_
_atom_site_label
_atom_site_type_symbol
_atom_site_fract_x
_atom_site_fract_y
_atom_site_fract_z
Sm1 Sm 0.000 0.000 0.000
Dy1 Dy 0.270 0.418 0.118
Dy2 Dy 0.375 0.873 0.242
Y1 Y 0.269 0.672 0.657
Er1 Er 0.183 0.227 0.556
```

---

Entry 9:
Compound: LiMg14Nb
Source: Alexandria
Functional: PBE-GGA
Structure: optimized geometry

ΔE_f   0.80 eV per formula unit
M_tot   0.00 μB per cell
Energy relative to the lowest polymorph listed for this composition   0 meV per atom
VASP energy   -2.094 eV/atom

Structure (CIF):
```
data_LiMg14Nb
_chemical_formula_sum 'Li1 Mg14 Nb1'
_cell_length_a 6.3233
_cell_length_b 6.3233
_cell_length_c 10.0973
_cell_angle_alpha 90.00
_cell_angle_beta 90.00
_cell_angle_gamma 120.00
_space_group_name_H-M_alt 'P -6 m 2'
_space_group_IT_number 187
_space_group_name_Hall 'P -6 2'
loop_
_atom_site_label
_atom_site_type_symbol
_atom_site_fract_x
_atom_site_fract_y
_atom_site_fract_z
Li1 Li 0.0000 0.0000 0.0000
Mg1 Mg 0.0016 0.5008 0.0000
Mg2 Mg 0.0027 0.5014 0.5000
Mg3 Mg 0.1607 0.3214 0.2547
Mg4 Mg 0.6667 0.3333 0.2518
Nb1 Nb 0.0000 0.0000 0.5000
```

---

Entry 10:
Compound: CsCN3
Source: Alexandria
Functional: PBE-GGA
Structure: optimized geometry

ΔE_f (raw)   -0.1206 eV per atom
M_tot   0.00 μB per cell
VASP energy   -7.131 eV/atom

Structure (CIF):
```
data_CsCN3
_chemical_formula_sum 'Cs4 C4 N12'
_cell_length_a 13.086
_cell_length_b 4.567
_cell_length_c 11.255
_cell_angle_alpha 90.00
_cell_angle_beta 97.51
_cell_angle_gamma 90.00
_space_group_name_H-M_alt 'C 1 2/m 1'
_space_group_IT_number 12
_space_group_name_Hall '-C 2y'
loop_
_atom_site_label
_atom_site_type_symbol
_atom_site_fract_x
_atom_site_fract_y
_atom_site_fract_z
Cs1 Cs 0.138 0.000 0.119
C1 C 0.044 0.500 0.854
N1 N 0.128 0.500 0.522
N2 N 0.128 0.500 0.908
N3 N 0.190 0.500 0.600
```

---

Entry 11:
Compound: K3MnAs2
Source: Alexandria
Functional: PBE-GGA
Structure: optimized geometry

ΔE_f   -2.03 eV per formula unit
M_tot   16.00 μB per cell
VASP energy   -3.965 eV/atom

Structure (CIF):
```
data_K3MnAs2
_chemical_formula_sum 'K12 Mn4 As8'
_cell_length_a 8.190
_cell_length_b 14.138
_cell_length_c 6.712
_cell_angle_alpha 90.00
_cell_angle_beta 90.00
_cell_angle_gamma 90.00
_space_group_name_H-M_alt 'I b a m'
_space_group_IT_number 72
_space_group_name_Hall '-I 2 2c'
loop_
_atom_site_label
_atom_site_type_symbol
_atom_site_fract_x
_atom_site_fract_y
_atom_site_fract_z
K1 K 0.000 0.000 0.250
K2 K 0.188 0.315 0.000
Mn1 Mn 0.000 0.500 0.250
As1 As 0.178 0.415 0.500
```

---

Entry 12:
Compound: Dy2Pu2Ir3
Source: Alexandria
Functional: PBE-GGA
Structure: optimized geometry

ΔE_f   -3.75 eV per formula unit
M_tot   10.24 μB per cell
VASP energy   -9.742 eV/atom

Structure (CIF):
```
data_Dy2Pu2Ir3
_chemical_formula_sum 'Dy2 Pu2 Ir3'
_cell_length_a 4.319
_cell_length_b 5.634
_cell_length_c 7.086
_cell_angle_alpha 95.69
_cell_angle_beta 107.70
_cell_angle_gamma 90.06
_space_group_name_H-M_alt 'P -1'
_space_group_IT_number 2
_space_group_name_Hall '-P 1'
loop_
_atom_site_label
_atom_site_type_symbol
_atom_site_fract_x
_atom_site_fract_y
_atom_site_fract_z
Dy1 Dy 0.144 0.105 0.289
Pu1 Pu 0.398 0.404 0.796
Ir1 Ir 0.228 0.655 0.456
Ir2 Ir 0.500 0.000 0.000
```